Record 1
# PrHoAgRh

A relaxed PrHoAgRh crystal (PBE, the Alexandria database).

Total moment ... 0.00 Bohr magnetons per cell
Total DFT energy (no corrections) ... -0.39499 Ry per atom
Symmetry ... F-43m

a b c (Å): 5.0804 5.0804 5.0804
angles (deg): 60.00 60.00 60.00
With the nearest neighbours (Å) after each atom.
Element x y z (fractional)
Ho 0.0000 0.0000 0.0000  4 Rh 3.11, 4 Ag 3.11
Rh 0.7500 0.7500 0.7500  4 Ho 3.11, 4 Pr 3.11
Pr 0.5000 0.5000 0.5000  4 Rh 3.11, 4 Ag 3.11
Ag 0.2500 0.2500 0.2500  4 Pr 3.11, 4 Ho 3.11



Record 2
# PrHoAgSb

A relaxed PrHoAgSb crystal (PBE, the Alexandria database).

Total moment ... 0.01 Bohr magnetons per cell
Total DFT energy (no corrections) ... -0.34065 Ry per atom
Symmetry ... F-43m

a b c (Å): 5.3140 5.3140 5.3140
angles (deg): 60.00 60.00 60.00
With the nearest neighbours (Å) after each atom.
Element x y z (fractional)
Pr 0.2500 0.2500 0.2500  4 Sb 3.25, 4 Ag 3.25
Ag 0.0000 0.0000 0.0000  4 Pr 3.25, 4 Ho 3.25
Ho 0.7500 0.7500 0.7500  4 Sb 3.25, 4 Ag 3.25
Sb 0.5000 0.5000 0.5000  4 Ho 3.25, 4 Pr 3.25



Record 3
# PrHoScAg

A relaxed PrHoScAg crystal (PBE, the Alexandria database).

Offset from the most stable computed form ... 0 kJ/mol of formula units
Total moment ... 0.00 Bohr magnetons per cell
Symmetry ... P4mm

a b c (Å): 3.5759 3.5759 8.4089
angles (deg): 90.00 90.00 90.00
With the nearest neighbours (Å) after each atom.
Element x y z (fractional)
Pr 0.0000 0.0000 0.0855  4 Sc 3.48, 4 Pr 3.58, 4 Ho 3.63
Sc 0.5000 0.5000 0.3693  4 Ag 2.97
Ho 0.5000 0.5000 0.7760  4 Ag 3.14, 1 Sc 3.42
Ag 0.0000 0.0000 0.5540  4 Sc 2.97, 4 Ho 3.14



Record 4
# PrHoScAg

A relaxed PrHoScAg crystal (PBE, the Alexandria database).

Offset from the most stable computed form ... 58 kJ/mol of formula units
Total moment ... 0.00 Bohr magnetons per cell
Symmetry ... F-43m

a b c (Å): 5.3421 5.3421 5.3421
angles (deg): 60.00 60.00 60.00
With the nearest neighbours (Å) after each atom.
Element x y z (fractional)
Ho 0.0000 0.0000 0.0000  4 Sc 3.27, 4 Ag 3.27
Pr 0.5000 0.5000 0.5000  4 Ag 3.27, 4 Sc 3.27
Sc 0.7500 0.7500 0.7500  4 Ho 3.27, 4 Pr 3.27
Ag 0.2500 0.2500 0.2500  4 Ho 3.27, 4 Pr 3.27